Compound: CoSeO3
Source: the Alexandria database
Functional: GGA+U
Structure: optimized geometry

## Properties
total magnetic moment	2.84	μB/cell
VASP energy	-4.755	eV/atom
V	11.57	A^3/atom
DOS(E_F)	0.579	states/eV/atom

Lattice parameters (Å, degrees): 3.8675 3.8675 3.8675 90.00 90.00 90.00
Fractional positions:
Co  0.0000  0.0000  0.0000
Se  0.5000  0.5000  0.5000
O  0.0000  0.5000  0.5000
O  0.5000  0.0000  0.5000
O  0.5000  0.5000  0.0000